# 1
This record from Alexandria describes crystalline TaBeV at its relaxed geometry. The functional is GGA-PBE.

Output
Its formation enthalpy at 0 K is 0.250 eV/atom. As for the final energy: -7.98 eV per atom. For the size of the total moment, the calculation gives 0.00 μB/f.u.

Lattice parameters (Å, degrees): 2.5371 4.3888 4.3888 120.00 90.00 90.00
With the nearest neighbours (Å) after each atom.
Positions (direct):
Be1 0.0329 0.0000 0.0000  2 Be 2.54, 3 V 2.62, 3 Ta 2.69
V1 0.2903 0.6667 0.3333  2 V 2.54, 3 Be 2.62, 3 Ta 2.72
Ta1 0.6768 0.3333 0.6667  2 Ta 2.54, 3 Be 2.69, 3 V 2.72



# 2
This record from Alexandria describes crystalline TaBe2V at its relaxed geometry. The functional is GGA-PBE.

Output
Its formation enthalpy at 0 K is 0.083 eV/atom. For the energy above the lowest structure with this stoichiometry, the calculation gives 0.40 eV per formula unit. As for the final energy: -7.02 eV per atom. For the size of the total moment, the calculation gives 0.54 μB/f.u.

Lattice parameters (Å, degrees): 4.0972 4.0972 4.0972 60.00 60.00 60.00
With the nearest neighbours (Å) after each atom.
Positions (direct):
Be1 0.2500 0.2500 0.2500  4 Ta 2.51, 4 V 2.51
Be2 0.7500 0.7500 0.7500  4 Ta 2.51, 4 V 2.51
Ta1 0.5000 0.5000 0.5000  8 Be 2.51
V1 0.0000 0.0000 0.0000  8 Be 2.51



# 3
This record from Alexandria describes crystalline TaBeV2 at its relaxed geometry. The functional is GGA-PBE.

Output
Its formation enthalpy at 0 K is 0.084 eV/atom. As for the final energy: -8.37 eV per atom. For the size of the total moment, the calculation gives 0.00 μB/f.u.

Lattice parameters (Å, degrees): 3.4343 3.9906 3.9906 90.00 90.00 90.00
With the nearest neighbours (Å) after each atom.
Positions (direct):
Be1 0.5000 0.5000 0.5000  8 V 2.63, 4 Ta 2.82
V1 0.0000 0.0000 0.5000  4 Be 2.63, 4 Ta 2.63, 4 V 2.82
V2 0.0000 0.5000 0.0000  4 Ta 2.63, 4 Be 2.63, 4 V 2.82
Ta1 0.5000 0.0000 0.0000  8 V 2.63, 4 Be 2.82



# 4
This record from Alexandria describes crystalline TaBeV at its relaxed geometry. The functional is GGA-PBE.

Output
Its formation enthalpy at 0 K is 0.935 eV/atom. As for the final energy: -7.30 eV per atom. For the size of the total moment, the calculation gives 0.00 μB/f.u.

Lattice parameters (Å, degrees): 2.5732 2.5732 7.4977 99.88 99.88 90.00
With the nearest neighbours (Å) after each atom.
Positions (direct):
Be1 0.9466 0.9466 0.8932  1 V 2.41, 1 Ta 2.56, 4 Be 2.57
V1 0.7807 0.7807 0.5614  1 Be 2.41, 4 V 2.57
Ta1 0.1227 0.1227 0.2453  1 Be 2.56, 4 Ta 2.57



# 5
This record from Alexandria describes crystalline TaBeV2 at its relaxed geometry. The functional is GGA-PBE.

Output
Its formation enthalpy at 0 K is 0.331 eV/atom. As for the final energy: -8.12 eV per atom. For the size of the total moment, the calculation gives 0.00 μB/f.u.

Lattice parameters (Å, degrees): 2.6794 4.6944 5.0113 117.93 93.09 90.00
With the nearest neighbours (Å) after each atom.
Positions (direct):
Ta1 0.5000 0.5000 0.0000  2 Be 2.35
Be1 0.5000 0.0000 0.0000  4 V 2.30-2.32, 2 Ta 2.35
V1 0.9515 0.7866 0.5733  2 Be 2.30-2.32, 2 V 2.45
V2 0.0485 0.2134 0.4267  2 Be 2.30-2.32, 2 V 2.45



# 6
This record from Alexandria describes crystalline TaBe2V at its relaxed geometry. The functional is GGA-PBE.

Output
Its formation enthalpy at 0 K is 0.413 eV/atom. For the energy above the lowest structure with this stoichiometry, the calculation gives 1.72 eV per formula unit. As for the final energy: -6.69 eV per atom. For the size of the total moment, the calculation gives 0.00 μB/f.u.

Lattice parameters (Å, degrees): 6.4588 6.4588 5.1857 51.48 51.48 90.00
With the nearest neighbours (Å) after each atom.
Positions (direct):
Be1 0.6085 0.1250 0.2500  2 V 2.29, 2 Ta 2.44, 2 Be 2.47
Be2 0.1415 0.6250 0.2500  2 V 2.29, 2 Ta 2.44, 2 Be 2.47
Be3 0.3750 0.3915 0.7500  2 V 2.29, 2 Ta 2.44, 2 Be 2.47
Be4 0.8750 0.8585 0.7500  2 V 2.29, 2 Ta 2.44, 2 Be 2.47
Ta1 0.0000 0.0000 0.0000  4 Be 2.44, 2 V 2.46
Ta2 0.7500 0.2500 0.5000  4 Be 2.44, 2 V 2.46
V1 0.5000 0.5000 0.0000  4 Be 2.29, 2 Ta 2.46
V2 0.2500 0.7500 0.5000  4 Be 2.29, 2 Ta 2.46